--- one ---
The following is a DFT calculation (PBE) of crystalline Pr3Sm3Te2Os at its relaxed geometry.

The structure in POSCAR format:
```
Pr3Sm3Te2Os
1.0
-4.749 7.198 0.128
-1.484 -6.040 -5.974
-2.689 -1.819 2.507
Sm Te Os Pr
3 2 1 3
Cartesian
-1.132 -4.607 -4.557
-3.622 5.490 0.098
-1.479 0.275 -1.387
-3.661 2.785 -1.906
-2.573 -1.627 -3.940
-1.345 -0.910 1.254
-3.251 1.980 1.305
-1.941 -3.335 -1.145
-5.075 -0.217 -2.245
```

Summary:
V	29.4	A^3/atom


--- two ---
The following is a DFT calculation (PBE) of crystalline Pr3Sm3Te2Os at its relaxed geometry.

The structure in POSCAR format:
```
Pr3Sm3Te2Os
1.0
8.641 0.000 0.000
-4.321 7.484 0.000
0.000 0.000 4.039
Pr Te Os Sm
3 2 1 3
Cartesian
-3.272 5.667 0.000
6.544 0.000 0.000
1.049 1.816 0.000
0.000 4.989 0.000
4.321 2.495 0.000
0.000 0.000 2.019
-1.745 3.022 2.019
2.576 4.461 2.019
3.490 0.000 2.019
```

Summary:
V	29.0	A^3/atom


Which one sits at the top of the stability order? one does.


--- one ---
The following is a DFT calculation (PBE) of crystalline PuOsPt at its relaxed geometry.

The structure in POSCAR format:
```
PuOsPt
1.0
3.014 -2.511 2.064
-0.488 -4.404 0.114
2.714 -2.593 -2.358
Os Pu Pt
1 1 1
Cartesian
0.000 0.000 0.000
3.930 -7.131 -0.135
1.310 -2.377 -0.045
```

Summary:
V	20.5	A^3/atom


--- two ---
The following is a DFT calculation (PBE) of crystalline PuOsPt at its relaxed geometry.

The structure in POSCAR format:
```
PuOsPt
1.0
2.349 -2.728 -2.659
2.660 -3.124 1.789
-1.108 -4.326 -0.308
Os Pu Pt
1 1 1
Cartesian
0.975 -2.545 -0.295
0.000 0.000 0.000
2.926 -7.634 -0.884
```

Summary:
V	21.1	A^3/atom


Which one sits at the top of the stability order? one does.